one.
Material: Cu2PbO
Method: DFT, PBE
State: relaxed

Total magnetization: 0.000 μB per formula unit
Space group: No. 122

a b c (Å): 5.7774 5.7774 5.7774
angles (deg): 118.46 118.46 92.68
Closest atoms and distances in Å follow each position.
Sites, in units of the cell vectors:
Cu 0.3750 0.2383 0.3633  2 O 1.90
Cu 0.7617 0.1250 0.1367  2 O 1.90
Cu 0.8750 0.0117 0.6367  2 O 1.90
Cu 0.9883 0.6250 0.8633  2 O 1.90
Pb 0.2500 0.7500 0.5000  4 Cu 2.90
Pb 0.5000 0.5000 0.0000  4 Cu 2.90
O 0.0000 0.0000 0.0000  4 Cu 1.90
O 0.7500 0.2500 0.5000  4 Cu 1.90


two.
Material: Cu2PbO
Method: DFT, PBE
State: relaxed

Total magnetization: 0.000 μB per formula unit
Space group: No. 225

a b c (Å): 4.4093 4.4093 4.4093
angles (deg): 60.00 60.00 60.00
Closest atoms and distances in Å follow each position.
Sites, in units of the cell vectors:
Cu 0.2500 0.2500 0.2500  4 O 2.70, 4 Pb 2.70
Cu 0.7500 0.7500 0.7500  4 O 2.70, 4 Pb 2.70
Pb 0.0000 0.0000 0.0000  8 Cu 2.70
O 0.5000 0.5000 0.5000  8 Cu 2.70


So which one is most stable? That would be one, about 547 meV/atom below the next structure.


one.
Material: CuPb3O
Method: DFT, PBE
State: relaxed

Total magnetization: 0.000 μB per formula unit
Space group: No. 221

a b c (Å): 4.9647 4.9647 4.9647
angles (deg): 90.00 90.00 90.00
Closest atoms and distances in Å follow each position.
Sites, in units of the cell vectors:
Cu 0.0000 0.0000 0.0000  12 Pb 3.51
Pb 0.0000 0.5000 0.5000  2 O 2.48
Pb 0.5000 0.0000 0.5000  2 O 2.48
Pb 0.5000 0.5000 0.0000  2 O 2.48
O 0.5000 0.5000 0.5000  6 Pb 2.48


two.
Material: CuPb3O
Method: DFT, PBE
State: relaxed

Total magnetization: 0.000 μB per formula unit
Space group: No. 221

a b c (Å): 5.1319 5.1319 5.1319
angles (deg): 90.00 90.00 90.00
Closest atoms and distances in Å follow each position.
Sites, in units of the cell vectors:
Cu 0.0000 0.0000 0.0000  6 Pb 2.57
Pb 0.0000 0.0000 0.5000  2 Cu 2.57
Pb 0.0000 0.5000 0.0000  2 Cu 2.57
Pb 0.5000 0.0000 0.0000  2 Cu 2.57
O 0.5000 0.5000 0.5000  12 Pb 3.63


So which one is most stable? That would be one, about 511 meV/atom below the next structure.


one.
Material: Cu2PdO4
Method: DFT, PBE
State: relaxed

Total magnetization: 0.000 μB per formula unit
Space group: No. 141

a b c (Å): 6.2487 6.2487 6.2487
angles (deg): 124.11 124.11 83.01
Closest atoms and distances in Å follow each position.
Sites, in units of the cell vectors:
Cu 0.0000 0.0000 0.0000  4 O 1.92
Cu 0.0000 0.0000 0.5000  4 O 1.92
Cu 0.0000 0.5000 0.0000  4 O 1.92
Cu 0.5000 0.0000 0.5000  4 O 1.92
Pd 0.3750 0.6250 0.7500  4 O 2.04
Pd 0.6250 0.3750 0.2500  4 O 2.04
O 0.2103 0.7482 0.4620  2 Cu 1.92, 1 Pd 2.04
O 0.2138 0.2518 0.9620  2 Cu 1.92, 1 Pd 2.04
O 0.2518 0.2138 0.4620  2 Cu 1.92, 1 Pd 2.04
O 0.2518 0.7897 0.0380  2 Cu 1.92, 1 Pd 2.04
O 0.7482 0.2103 0.9620  2 Cu 1.92, 1 Pd 2.04
O 0.7482 0.7862 0.5380  2 Cu 1.92, 1 Pd 2.04
O 0.7862 0.7482 0.0380  2 Cu 1.92, 1 Pd 2.04
O 0.7897 0.2518 0.5380  2 Cu 1.92, 1 Pd 2.04


two.
Material: Cu2PdO4
Method: DFT, PBE
State: relaxed

Total magnetization: 2.020 μB per formula unit
Space group: No. 12

a b c (Å): 5.5998 5.5998 4.9949
angles (deg): 111.55 111.55 33.40
Closest atoms and distances in Å follow each position.
Sites, in units of the cell vectors:
Cu 0.1890 0.1890 0.1630  4 O 1.85-1.98
Cu 0.8110 0.8110 0.8370  4 O 1.85-1.98
Pd 0.5000 0.5000 0.5000  6 O 2.05-2.07
O 0.1035 0.1035 0.4223  1 Cu 1.85
O 0.3570 0.3570 0.0868  3 Cu 1.98, 1 Pd 2.05
O 0.6430 0.6430 0.9132  3 Cu 1.98, 1 Pd 2.05
O 0.8965 0.8965 0.5777  1 Cu 1.85


So which one is most stable? That would be two, about 94 meV/atom below the next structure.


one.
Material: Cu3PdO6
Method: DFT, PBE
State: relaxed

Total magnetization: 0.001 μB per formula unit
Space group: No. 65

a b c (Å): 6.0066 6.0066 3.0621
angles (deg): 90.00 90.00 107.81
Closest atoms and distances in Å follow each position.
Sites, in units of the cell vectors:
Cu 0.0000 0.0000 0.0000  4 O 1.85
Cu 0.0000 0.5000 0.5000  6 O 1.97-2.07
Cu 0.5000 0.0000 0.5000  6 O 1.97-2.07
Pd 0.5000 0.5000 0.0000  4 O 2.05
O 0.0616 0.3210 0.0000  3 Cu 1.85-1.97
O 0.3210 0.0616 0.0000  3 Cu 1.85-1.97
O 0.3600 0.6400 0.5000  2 Pd 2.05, 2 Cu 2.07
O 0.6400 0.3600 0.5000  2 Pd 2.05, 2 Cu 2.07
O 0.6790 0.9384 0.0000  3 Cu 1.85-1.97
O 0.9384 0.6790 0.0000  3 Cu 1.85-1.97


two.
Material: Cu3PdO6
Method: DFT, PBE
State: relaxed

Total magnetization: 0.000 μB per formula unit
Space group: No. 148

a b c (Å): 5.9510 5.9510 5.9510
angles (deg): 94.64 94.64 94.64
Closest atoms and distances in Å follow each position.
Sites, in units of the cell vectors:
Cu 0.0857 0.5442 0.7663  4 O 1.90-1.92
Cu 0.2337 0.9143 0.4558  4 O 1.90-1.92
Cu 0.4558 0.2337 0.9143  4 O 1.90-1.92
Cu 0.5442 0.7663 0.0857  4 O 1.90-1.92
Cu 0.7663 0.0857 0.5442  4 O 1.90-1.92
Cu 0.9143 0.4558 0.2337  4 O 1.90-1.92
Pd 0.0000 0.0000 0.0000  6 O 2.04
Pd 0.5000 0.5000 0.5000  6 O 2.06
O 0.0454 0.8465 0.6896  2 Cu 1.90-1.92, 1 Pd 2.04
O 0.1535 0.3104 0.9546  2 Cu 1.90-1.92, 1 Pd 2.04
O 0.1942 0.5982 0.3742  2 Cu 1.90, 1 Pd 2.06
O 0.3104 0.9546 0.1535  2 Cu 1.90-1.92, 1 Pd 2.04
O 0.3742 0.1942 0.5982  2 Cu 1.90, 1 Pd 2.06
O 0.4018 0.6258 0.8058  2 Cu 1.90, 1 Pd 2.06
O 0.5982 0.3742 0.1942  2 Cu 1.90, 1 Pd 2.06
O 0.6258 0.8058 0.4018  2 Cu 1.90, 1 Pd 2.06
O 0.6896 0.0454 0.8465  2 Cu 1.90-1.92, 1 Pd 2.04
O 0.8058 0.4018 0.6258  2 Cu 1.90, 1 Pd 2.06
O 0.8465 0.6896 0.0454  2 Cu 1.90-1.92, 1 Pd 2.04
O 0.9546 0.1535 0.3104  2 Cu 1.90-1.92, 1 Pd 2.04


So which one is most stable? That would be one, about 15 meV/atom below the next structure.


one.
Material: ZnCuTePdO
Method: DFT, PBE
State: relaxed

Total magnetization: 0.000 μB per formula unit
Space group: No. 1

a b c (Å): 3.0976 4.4773 6.4500
angles (deg): 84.80 82.50 88.30
Closest atoms and distances in Å follow each position.
Sites, in units of the cell vectors:
Zn 0.0000 0.0000 0.0000  2 O 1.98-2.00
Cu 0.4545 0.6165 0.7720  1 O 1.87
Te 0.3832 0.9955 0.4747  1 Cu 2.47, 1 Pd 2.59
Pd 0.4556 0.5969 0.2040  1 O 2.19
O 0.5029 0.2788 0.9623  1 Cu 1.87, 2 Zn 1.98-2.00


two.
Material: ZnCuTePdO
Method: DFT, PBE
State: relaxed

Total magnetization: 0.000 μB per formula unit
Space group: No. 6

a b c (Å): 3.5267 4.0516 6.2501
angles (deg): 90.00 105.90 90.00
Closest atoms and distances in Å follow each position.
Sites, in units of the cell vectors:
Zn 0.0000 0.0000 0.0000  2 O 1.98
Cu 0.6326 0.5000 0.2651  2 O 2.14
Te 0.3070 0.5000 0.6379  4 Pd 2.71, 2 Cu 2.84-2.87
Pd 0.7789 0.0000 0.5787  1 Zn 2.53, 1 O 2.58, 4 Te 2.71, 2 Cu 2.77
O 0.5725 0.0000 0.1501  2 Zn 1.98, 2 Cu 2.14


So which one is most stable? That would be one, about 40 meV/atom below the next structure.


one.
Material: Pm4Cu2O
Method: DFT, PBE
State: relaxed

Total magnetization: 0.000 μB per formula unit
Space group: No. 139

a b c (Å): 7.8414 7.8414 7.8414
angles (deg): 144.06 144.06 51.73
Closest atoms and distances in Å follow each position.
Sites, in units of the cell vectors:
Pm 0.0000 0.5000 0.5000  2 O 2.42
Pm 0.1871 0.1871 0.0000  1 O 2.64, 1 Cu 2.74
Pm 0.5000 0.0000 0.5000  2 O 2.42
Pm 0.8129 0.8129 0.0000  1 O 2.64, 1 Cu 2.74
Cu 0.3809 0.3809 0.0000  5 Pm 2.74-2.95
Cu 0.6191 0.6191 0.0000  5 Pm 2.74-2.95
O 0.0000 0.0000 0.0000  6 Pm 2.42-2.64


two.
Material: Pm4Cu2O
Method: DFT, PBE
State: relaxed

Total magnetization: 0.000 μB per formula unit
Space group: No. 11

a b c (Å): 6.7641 7.1438 7.6830
angles (deg): 90.00 106.02 90.00
Closest atoms and distances in Å follow each position.
Sites, in units of the cell vectors:
Pm 0.0113 0.0073 0.2525  1 O 2.32
Pm 0.0113 0.4927 0.2525  1 O 2.32
Pm 0.4305 0.2500 0.6053  1 O 2.26
Pm 0.4517 0.2500 0.1204  1 O 2.26
Pm 0.5483 0.7500 0.8796  1 O 2.26
Pm 0.5695 0.7500 0.3947  1 O 2.26
Pm 0.9887 0.5073 0.7475  1 O 2.32
Pm 0.9887 0.9927 0.7475  1 O 2.32
Cu 0.2141 0.7500 0.5466  6 Pm 2.91-3.00
Cu 0.2161 0.7500 0.0589  6 Pm 2.94-3.01
Cu 0.7839 0.2500 0.9411  6 Pm 2.94-3.01
Cu 0.7859 0.2500 0.4534  6 Pm 2.91-3.00
O 0.2491 0.2500 0.3107  4 Pm 2.26-2.32
O 0.7509 0.7500 0.6893  4 Pm 2.26-2.32


So which one is most stable? That would be one, about 18 meV/atom below the next structure.


one.
Material: PmCu2O4
Method: DFT, PBE
State: relaxed

Total magnetization: 0.362 μB per formula unit
Space group: No. 15

a b c (Å): 6.7916 6.7916 5.6435
angles (deg): 105.00 105.00 124.56
Closest atoms and distances in Å follow each position.
Sites, in units of the cell vectors:
Pm 0.1239 0.8761 0.7500  8 O 2.37-2.61
Pm 0.8761 0.1239 0.2500  8 O 2.37-2.61
Cu 0.0000 0.5000 0.0000  4 O 1.89-1.93
Cu 0.5000 0.0000 0.5000  4 O 1.89-1.93
Cu 0.5000 0.5000 0.0000  4 O 1.89-1.93
Cu 0.5000 0.5000 0.5000  4 O 1.89-1.93
O 0.1645 0.6447 0.3980  2 Cu 1.89-1.93
O 0.2458 0.2675 0.1028  2 Cu 1.89-1.93
O 0.2675 0.2458 0.6028  2 Cu 1.89-1.93
O 0.3553 0.8355 0.1020  2 Cu 1.89-1.93
O 0.6447 0.1645 0.8980  2 Cu 1.89-1.93
O 0.7325 0.7542 0.3972  2 Cu 1.89-1.93
O 0.7542 0.7325 0.8972  2 Cu 1.89-1.93
O 0.8355 0.3553 0.6020  2 Cu 1.89-1.93


two.
Material: PmCu2O4
Method: DFT, PBE
State: relaxed

Total magnetization: 0.000 μB per formula unit
Space group: No. 12

a b c (Å): 3.7961 3.7961 6.3601
angles (deg): 101.43 101.43 89.71
Closest atoms and distances in Å follow each position.
Sites, in units of the cell vectors:
Pm 0.0000 0.0000 0.0000  8 O 2.42
Cu 0.3920 0.3920 0.6879  4 O 1.94-1.95
Cu 0.6080 0.6080 0.3121  4 O 1.94-1.95
O 0.0842 0.5805 0.2452  2 Cu 1.94-1.95
O 0.4195 0.9158 0.7548  2 Cu 1.94-1.95
O 0.5805 0.0842 0.2452  2 Cu 1.94-1.95
O 0.9158 0.4195 0.7548  2 Cu 1.94-1.95


So which one is most stable? That would be one, about 105 meV/atom below the next structure.


one.
Material: Pr2Cu2O5
Method: DFT, PBE
State: relaxed

Total magnetization: 0.402 μB per formula unit
Space group: No. 55

a b c (Å): 5.7084 10.2462 3.8197
angles (deg): 90.00 90.00 90.00
Closest atoms and distances in Å follow each position.
Sites, in units of the cell vectors:
Pr 0.1541 0.1480 0.0000  9 O 2.50-2.77
Pr 0.3459 0.6480 0.0000  9 O 2.50-2.77
Pr 0.6541 0.3520 0.0000  9 O 2.50-2.77
Pr 0.8459 0.8520 0.0000  9 O 2.50-2.77
Cu 0.1899 0.4044 0.5000  4 O 1.92-2.02
Cu 0.3101 0.9044 0.5000  4 O 1.92-2.02
Cu 0.6899 0.0956 0.5000  4 O 1.92-2.02
Cu 0.8101 0.5956 0.5000  4 O 1.92-2.02
O 0.0000 0.0000 0.5000  2 Cu 2.02
O 0.0848 0.7087 0.5000  1 Cu 1.95
O 0.2238 0.3990 0.0000  2 Cu 1.92
O 0.2762 0.8990 0.0000  2 Cu 1.92
O 0.4152 0.2087 0.5000  1 Cu 1.95
O 0.5000 0.5000 0.5000  2 Cu 2.02
O 0.5848 0.7913 0.5000  1 Cu 1.95
O 0.7238 0.1010 0.0000  2 Cu 1.92
O 0.7762 0.6010 0.0000  2 Cu 1.92
O 0.9152 0.2913 0.5000  1 Cu 1.95


two.
Material: Pr2Cu2O5
Method: DFT, PBE
State: relaxed

Total magnetization: 0.000 μB per formula unit
Space group: No. 12

a b c (Å): 6.8621 6.8621 5.0393
angles (deg): 110.05 110.05 34.53
Closest atoms and distances in Å follow each position.
Sites, in units of the cell vectors:
Pr 0.1188 0.1188 0.3256  6 O 2.39-2.56
Pr 0.8812 0.8812 0.6744  6 O 2.39-2.56
Cu 0.4039 0.4039 0.2067  4 O 1.88-2.04
Cu 0.5961 0.5961 0.7933  4 O 1.88-2.04
O 0.0884 0.0884 0.7964  2 Cu 2.04
O 0.3134 0.3134 0.4228  1 Cu 1.88
O 0.5000 0.5000 0.0000  2 Cu 1.90
O 0.6866 0.6866 0.5772  1 Cu 1.88
O 0.9116 0.9116 0.2036  2 Cu 2.04


So which one is most stable? That would be two, about 30 meV/atom below the next structure.